Record 1
Compound: Mn2HPt2
Source: the Alexandria database
Functional: PBE
Structure: optimized geometry

Unit cell a=7.1802 b=7.1802 c=2.6837 alpha=90.00 beta=90.00 gamma=90.00
With the nearest neighbours (Å) after each atom.
Space group P4/mbm (No. 127)
Inequivalent atoms, fractional coordinates:
Mn 0.1034 0.3966 0.0000  1 Mn 2.10
H 0.0000 0.0000 0.5000  4 Pt 2.61, 2 H 2.68
Pt 0.1889 0.6889 0.5000  6 Mn 2.50-2.57, 2 H 2.61, 2 Pt 2.68

- total DFT energy (no corrections) (eV/atom) = -6.100
- density of states at the Fermi level (states/eV/cell) = 15.2
- energy above the lowest structure with this stoichiometry (meV/atom) = 74.0

Record 2
Compound: MnHPt
Source: the Alexandria database
Functional: PBE
Structure: optimized geometry

Unit cell a=3.7501 b=3.7501 c=2.9906 alpha=90.00 beta=90.00 gamma=120.00
With the nearest neighbours (Å) after each atom.
Space group P-6m2 (No. 187)
Inequivalent atoms, fractional coordinates:
Mn 0.0000 0.0000 0.0000  6 H 2.63, 6 Pt 2.63
H 0.3333 0.6667 0.5000  3 Pt 2.17
Pt 0.6667 0.3333 0.5000  3 H 2.17

- total DFT energy (no corrections) (eV/atom) = -6.064
- density of states at the Fermi level (states/eV/cell) = 0.7
- energy above the lowest structure with this stoichiometry (meV/atom) = 264.5

Record 3
Compound: Mn2HPt6
Source: the Alexandria database
Functional: PBE
Structure: optimized geometry

Unit cell a=4.5790 b=9.7382 c=7.2127 alpha=90.00 beta=128.96 gamma=90.00
With the nearest neighbours (Å) after each atom.
Space group Pc (No. 7)
Inequivalent atoms, fractional coordinates:
Mn 0.0000 0.1632 0.0000  1 H 2.07
Mn 0.0368 0.3365 0.5173  1 H 2.08
H 0.5013 0.2542 0.2790  2 Pt 1.86-1.88, 2 Mn 2.07-2.08
Pt 0.2594 0.0840 0.7543  8 Pt 2.76-2.85, 4 Mn 2.77-2.80
Pt 0.2636 0.4180 0.2551  1 H 1.88
Pt 0.5155 0.1637 0.5123  1 H 1.86
Pt 0.5209 0.3346 0.0063  1 H 2.17
Pt 0.7712 0.0839 0.2616  1 H 2.12
Pt 0.7778 0.4160 0.7642  8 Pt 2.75-2.86, 4 Mn 2.77-2.80

- total DFT energy (no corrections) (eV/atom) = -6.640
- density of states at the Fermi level (states/eV/cell) = 19.3

Record 4
Compound: MnHPt
Source: the Alexandria database
Functional: PBE
Structure: optimized geometry

Unit cell a=2.7004 b=2.6989 c=8.1378 alpha=90.00 beta=94.28 gamma=90.00
With the nearest neighbours (Å) after each atom.
Space group Pm (No. 6)
Inequivalent atoms, fractional coordinates:
Mn 0.0000 0.0000 0.0000  1 H 1.72
Mn 0.4548 0.5000 0.8109  4 H 1.92
H 0.0604 0.5000 0.3993  4 Pt 1.88-1.97
H 0.9510 0.0000 0.7878  5 Mn 1.72-1.92, 1 Pt 1.91
Pt 0.5456 0.5000 0.2303  2 H 1.88-1.97
Pt 0.9064 0.0000 0.5529  3 H 1.91

- total DFT energy (no corrections) (eV/atom) = -6.127
- density of states at the Fermi level (states/eV/cell) = 4.2
- energy above the lowest structure with this stoichiometry (meV/atom) = 201.1

Record 5
Compound: MnHPt3
Source: the Alexandria database
Functional: PBE
Structure: optimized geometry

Unit cell a=4.0121 b=4.0121 c=4.0121 alpha=90.00 beta=90.00 gamma=90.00
With the nearest neighbours (Å) after each atom.
Space group Pm-3m (No. 221)
Inequivalent atoms, fractional coordinates:
Mn 0.0000 0.0000 0.0000  12 Pt 2.84
H 0.5000 0.5000 0.5000  6 Pt 2.01
Pt 0.0000 0.5000 0.5000  2 H 2.01

- total DFT energy (no corrections) (eV/atom) = -6.317
- density of states at the Fermi level (states/eV/cell) = 3.1
- energy above the lowest structure with this stoichiometry (meV/atom) = 39.6

Record 6
Compound: Mn2ReHPt
Source: the Alexandria database
Functional: PBE
Structure: optimized geometry

Unit cell a=3.8225 b=3.8225 c=3.7025 alpha=90.00 beta=90.00 gamma=90.00
With the nearest neighbours (Å) after each atom.
Space group P4/mmm (No. 123)
Inequivalent atoms, fractional coordinates:
Mn 0.0000 0.5000 0.0000  2 H 1.91
Re 0.0000 0.0000 0.5000  8 Mn 2.66, 4 Pt 2.70
H 0.5000 0.5000 0.0000  2 Pt 1.85, 4 Mn 1.91
Pt 0.5000 0.5000 0.5000  2 H 1.85

- total DFT energy (no corrections) (eV/atom) = -7.972
- density of states at the Fermi level (states/eV/cell) = 3.6
- energy above the lowest structure with this stoichiometry (meV/atom) = 56.4

Record 7
Compound: Mn2ReHPt
Source: the Alexandria database
Functional: PBE
Structure: optimized geometry

Unit cell a=3.8185 b=3.8185 c=3.7900 alpha=90.00 beta=90.00 gamma=90.00
With the nearest neighbours (Å) after each atom.
Space group P4/mmm (No. 123)
Inequivalent atoms, fractional coordinates:
Mn 0.0000 0.5000 0.0000  2 H 1.91
Re 0.0000 0.0000 0.5000  2 H 1.89
H 0.0000 0.0000 0.0000  2 Re 1.89, 4 Mn 1.91
Pt 0.5000 0.5000 0.5000  8 Mn 2.69, 4 Re 2.70

- total DFT energy (no corrections) (eV/atom) = -8.028
- density of states at the Fermi level (states/eV/cell) = 4.8
- energy above the lowest structure with this stoichiometry (meV/atom) = 0.0

Record 8
Compound: Mn2HPtRh
Source: the Alexandria database
Functional: PBE
Structure: optimized geometry

Unit cell a=3.7534 b=3.7534 c=3.8143 alpha=90.00 beta=90.00 gamma=90.00
With the nearest neighbours (Å) after each atom.
Space group P4/mmm (No. 123)
Inequivalent atoms, fractional coordinates:
Mn 0.0000 0.5000 0.0000  2 H 1.88
H 0.0000 0.0000 0.0000  4 Mn 1.88, 2 Pt 1.91
Pt 0.0000 0.0000 0.5000  2 H 1.91
Rh 0.5000 0.5000 0.5000  4 Pt 2.65, 8 Mn 2.68

- total DFT energy (no corrections) (eV/atom) = -6.936
- density of states at the Fermi level (states/eV/cell) = 7.4
- energy above the lowest structure with this stoichiometry (meV/atom) = 74.0

Record 9
Compound: MnHPtRh2
Source: the Alexandria database
Functional: PBE
Structure: optimized geometry

Unit cell a=3.9314 b=3.9314 c=3.9201 alpha=90.00 beta=90.00 gamma=90.00
With the nearest neighbours (Å) after each atom.
Space group P4/mmm (No. 123)
Inequivalent atoms, fractional coordinates:
Mn 0.0000 0.0000 0.0000  8 Rh 2.78, 4 Pt 2.78
H 0.5000 0.5000 0.5000  2 Pt 1.96, 4 Rh 1.97
Pt 0.5000 0.5000 0.0000  2 H 1.96
Rh 0.0000 0.5000 0.5000  2 H 1.97

- total DFT energy (no corrections) (eV/atom) = -6.798
- density of states at the Fermi level (states/eV/cell) = 3.8
- energy above the lowest structure with this stoichiometry (meV/atom) = 30.9

Record 10
Compound: Mn2HPtRh
Source: the Alexandria database
Functional: PBE
Structure: optimized geometry

Unit cell a=3.7521 b=3.7521 c=3.7942 alpha=90.00 beta=90.00 gamma=90.00
With the nearest neighbours (Å) after each atom.
Space group P4/mmm (No. 123)
Inequivalent atoms, fractional coordinates:
Mn 0.0000 0.5000 0.0000  2 H 1.88
H 0.0000 0.0000 0.0000  4 Mn 1.88, 2 Rh 1.90
Pt 0.5000 0.5000 0.5000  4 Rh 2.65, 8 Mn 2.67
Rh 0.0000 0.0000 0.5000  2 H 1.90

- total DFT energy (no corrections) (eV/atom) = -7.010
- density of states at the Fermi level (states/eV/cell) = 6.9
- energy above the lowest structure with this stoichiometry (meV/atom) = 0.0

Record 11
Compound: MnHPtRh2
Source: the Alexandria database
Functional: PBE
Structure: optimized geometry

Unit cell a=3.8861 b=3.8861 c=3.9584 alpha=90.00 beta=90.00 gamma=90.00
With the nearest neighbours (Å) after each atom.
Space group P4/mmm (No. 123)
Inequivalent atoms, fractional coordinates:
Mn 0.0000 0.0000 0.0000  2 H 1.98
H 0.0000 0.0000 0.5000  4 Rh 1.94, 2 Mn 1.98
Pt 0.5000 0.5000 0.0000  4 Mn 2.75, 8 Rh 2.77
Rh 0.0000 0.5000 0.5000  2 H 1.94

- total DFT energy (no corrections) (eV/atom) = -6.828
- density of states at the Fermi level (states/eV/cell) = 4.3
- energy above the lowest structure with this stoichiometry (meV/atom) = 0.0

Record 12
Compound: MnHRuPt2
Source: the Alexandria database
Functional: PBE
Structure: optimized geometry

Unit cell a=3.8864 b=3.8864 c=4.0611 alpha=90.00 beta=90.00 gamma=90.00
With the nearest neighbours (Å) after each atom.
Space group P4/mmm (No. 123)
Inequivalent atoms, fractional coordinates:
Mn 0.0000 0.0000 0.0000  2 H 2.03
H 0.0000 0.0000 0.5000  4 Pt 1.94, 2 Mn 2.03
Ru 0.5000 0.5000 0.0000  4 Mn 2.75, 8 Pt 2.81
Pt 0.0000 0.5000 0.5000  2 H 1.94

- total DFT energy (no corrections) (eV/atom) = -6.746
- density of states at the Fermi level (states/eV/cell) = 4.8
- energy above the lowest structure with this stoichiometry (meV/atom) = 67.5